A relaxed structure of Mn2BePt. Source: Alexandria, functional PBE.

Summary:
Final energy, eV per atom: -6.847
Calculated density, g cm⁻³: 10.70

Lattice parameters (Å, degrees): 3.318 3.318 9.159 79.57 79.57 90.00
Fractional coordinates of all 8 atoms:
Be 0.500 0.500 0.000
Be 0.250 0.750 0.500
Mn 0.566 0.125 0.250
Mn 0.184 0.625 0.250
Mn 0.375 0.434 0.750
Mn 0.875 0.816 0.750
Pt 0.000 0.000 0.000
Pt 0.750 0.250 0.500